Record 1
CsBaPS2 at its PBEsol-relaxed geometry. Source: Alexandria via LeMat-Bulk, functional meta-GGA SCAN.

```
data_CsBaPS2
_cell_length_a 5.871
_cell_length_b 5.871
_cell_length_c 6.171
_cell_angle_alpha 90.00
_cell_angle_beta 90.00
_cell_angle_gamma 90.00
_space_group_name_H-M_alt 'P 4/m m m'
_space_group_IT_number 123
_space_group_name_Hall '-P 4 2'
loop_
_atom_site_label
_atom_site_type_symbol
_atom_site_fract_x
_atom_site_fract_y
_atom_site_fract_z
Cs1 Cs 0.000 0.000 0.000
Ba1 Ba 0.500 0.500 0.500
P1 P 0.500 0.500 0.000
S1 S 0.000 0.500 0.500
```

Values from the calculation:
Raw formation energy (eV per formula unit): -1.2

=====

Record 2
CsBaPS4 at its PBEsol-relaxed geometry. Source: Alexandria via LeMat-Bulk, functional meta-GGA SCAN.

```
data_CsBaPS4
_cell_length_a 11.588
_cell_length_b 6.749
_cell_length_c 10.011
_cell_angle_alpha 90.00
_cell_angle_beta 90.00
_cell_angle_gamma 90.00
_space_group_name_H-M_alt 'P n m a'
_space_group_IT_number 62
loop_
_space_group_symop_operation_xyz
'x,y,z'
'-x,-y,-z'
'-x+1/2,-y,z+1/2'
'x+1/2,y,-z+1/2'
'x+1/2,-y+1/2,-z+1/2'
'-x+1/2,y+1/2,z+1/2'
'-x,y+1/2,-z'
'x,-y+1/2,z'
loop_
_atom_site_label
_atom_site_type_symbol
_atom_site_fract_x
_atom_site_fract_y
_atom_site_fract_z
Cs1 Cs 0.076 0.250 0.143
Ba1 Ba 0.151 0.250 0.599
P1 P 0.178 0.750 0.384
S1 S 0.071 0.750 0.221
S2 S 0.089 0.750 0.561
S3 S 0.222 0.002 0.871
```

Values from the calculation:
Raw formation energy (eV per formula unit): -10.0

=====

Record 3
CsBaSi2P at its PBEsol-relaxed geometry. Source: Alexandria via LeMat-Bulk, functional meta-GGA SCAN.

```
data_CsBaSi2P
_cell_length_a 5.498
_cell_length_b 5.498
_cell_length_c 5.585
_cell_angle_alpha 90.00
_cell_angle_beta 90.00
_cell_angle_gamma 90.00
_space_group_name_H-M_alt 'P 4/m m m'
_space_group_IT_number 123
_space_group_name_Hall '-P 4 2'
loop_
_atom_site_label
_atom_site_type_symbol
_atom_site_fract_x
_atom_site_fract_y
_atom_site_fract_z
Cs1 Cs 0.000 0.000 0.000
Ba1 Ba 0.500 0.500 0.500
Si1 Si 0.000 0.500 0.000
P1 P 0.000 0.000 0.500
```

Values from the calculation:
Raw formation energy (eV per formula unit): 6.8

=====

Record 4
CsBa3Pd at its PBEsol-relaxed geometry. Source: Alexandria via LeMat-Bulk, functional meta-GGA SCAN.

```
data_CsBa3Pd
_cell_length_a 6.409
_cell_length_b 6.409
_cell_length_c 6.409
_cell_angle_alpha 90.00
_cell_angle_beta 90.00
_cell_angle_gamma 90.00
_space_group_name_H-M_alt 'P m -3 m'
_space_group_IT_number 221
_space_group_name_Hall '-P 4 2 3'
loop_
_atom_site_label
_atom_site_type_symbol
_atom_site_fract_x
_atom_site_fract_y
_atom_site_fract_z
Cs1 Cs 0.000 0.000 0.000
Ba1 Ba 0.000 0.500 0.500
Pd1 Pd 0.500 0.500 0.500
```

Values from the calculation:
Energy of formation from the pure elements (kJ per mole of atoms): -17

=====

Record 5
CsBaRh2 at its PBEsol-relaxed geometry. Source: Alexandria via LeMat-Bulk, functional meta-GGA SCAN.

```
data_CsBaRh2
_cell_length_a 7.307
_cell_length_b 7.307
_cell_length_c 7.307
_cell_angle_alpha 90.00
_cell_angle_beta 90.00
_cell_angle_gamma 90.00
_space_group_name_H-M_alt 'F m -3 m'
_space_group_IT_number 225
_space_group_name_Hall '-F 4 2 3'
loop_
_atom_site_label
_atom_site_type_symbol
_atom_site_fract_x
_atom_site_fract_y
_atom_site_fract_z
Cs1 Cs 0.000 0.000 0.000
Ba1 Ba 0.000 0.000 0.500
Rh1 Rh 0.250 0.250 0.250
```

Values from the calculation:
Energy of formation from the pure elements (kJ per mole of atoms): 78

=====

Record 6
CsBaZr2Ru at its PBEsol-relaxed geometry. Source: Alexandria via LeMat-Bulk, functional meta-GGA SCAN.

```
data_CsBaZr2Ru
_cell_length_a 5.339
_cell_length_b 5.339
_cell_length_c 4.969
_cell_angle_alpha 90.00
_cell_angle_beta 90.00
_cell_angle_gamma 90.00
_space_group_name_H-M_alt 'P 4/m m m'
_space_group_IT_number 123
_space_group_name_Hall '-P 4 2'
loop_
_atom_site_label
_atom_site_type_symbol
_atom_site_fract_x
_atom_site_fract_y
_atom_site_fract_z
Cs1 Cs 0.000 0.000 0.000
Ba1 Ba 0.500 0.500 0.500
Zr1 Zr 0.000 0.500 0.000
Ru1 Ru 0.000 0.000 0.500
```

Values from the calculation:
Energy of formation from the pure elements (kJ per mole of atoms): 179

=====

Record 7
CsBaVS4 at its PBEsol-relaxed geometry. Source: Alexandria via LeMat-Bulk, functional meta-GGA SCAN.

```
data_CsBaVS4
_cell_length_a 11.771
_cell_length_b 6.739
_cell_length_c 9.966
_cell_angle_alpha 90.00
_cell_angle_beta 90.00
_cell_angle_gamma 90.00
_space_group_name_H-M_alt 'P n m a'
_space_group_IT_number 62
loop_
_space_group_symop_operation_xyz
'x,y,z'
'-x,-y,-z'
'-x+1/2,-y,z+1/2'
'x+1/2,y,-z+1/2'
'x+1/2,-y+1/2,-z+1/2'
'-x+1/2,y+1/2,z+1/2'
'-x,y+1/2,-z'
'x,-y+1/2,z'
loop_
_atom_site_label
_atom_site_type_symbol
_atom_site_fract_x
_atom_site_fract_y
_atom_site_fract_z
Cs1 Cs 0.068 0.250 0.133
Ba1 Ba 0.152 0.250 0.593
V1 V 0.171 0.750 0.379
S1 S 0.059 0.750 0.210
S2 S 0.081 0.750 0.565
S3 S 0.222 0.504 0.864
```

Values from the calculation:
Raw formation energy (eV per formula unit): -11.4

=====

Record 8
CsBaSbTe2 at its PBEsol-relaxed geometry. Source: Alexandria via LeMat-Bulk, functional meta-GGA SCAN.

```
data_CsBaSbTe2
_cell_length_a 6.172
_cell_length_b 6.172
_cell_length_c 5.943
_cell_angle_alpha 90.00
_cell_angle_beta 90.00
_cell_angle_gamma 90.00
_space_group_name_H-M_alt 'P 4/m m m'
_space_group_IT_number 123
_space_group_name_Hall '-P 4 2'
loop_
_atom_site_label
_atom_site_type_symbol
_atom_site_fract_x
_atom_site_fract_y
_atom_site_fract_z
Cs1 Cs 0.000 0.000 0.000
Ba1 Ba 0.500 0.500 0.500
Sb1 Sb 0.000 0.000 0.500
Te1 Te 0.000 0.500 0.000
```

Values from the calculation:
Raw formation energy (eV per formula unit): 0.8

=====

Record 9
CsBaSc2 at its PBEsol-relaxed geometry. Source: Alexandria via LeMat-Bulk, functional meta-GGA SCAN.

```
data_CsBaSc2
_cell_length_a 3.5177
_cell_length_b 3.5177
_cell_length_c 38.4585
_cell_angle_alpha 90.00
_cell_angle_beta 90.00
_cell_angle_gamma 120.00
_space_group_name_H-M_alt 'R -3 m'
_space_group_IT_number 166
_space_group_name_Hall '-R 3 2"'
loop_
_atom_site_label
_atom_site_type_symbol
_atom_site_fract_x
_atom_site_fract_y
_atom_site_fract_z
Cs1 Cs 0.0000 0.0000 0.0000
Ba1 Ba 0.0000 0.0000 0.5000
Sc1 Sc 0.0000 0.0000 0.0889
```

Values from the calculation:
Energy of formation from the pure elements (kJ per mole of atoms): 64

=====

Record 10
Cs2BaScTe at its PBEsol-relaxed geometry. Source: Alexandria via LeMat-Bulk, functional meta-GGA SCAN.

```
data_Cs2BaScTe
_cell_length_a 7.993
_cell_length_b 7.993
_cell_length_c 6.258
_cell_angle_alpha 90.00
_cell_angle_beta 90.00
_cell_angle_gamma 90.00
_space_group_name_H-M_alt 'P 4/m m m'
_space_group_IT_number 123
_space_group_name_Hall '-P 4 2'
loop_
_atom_site_label
_atom_site_type_symbol
_atom_site_fract_x
_atom_site_fract_y
_atom_site_fract_z
Cs1 Cs 0.000 0.500 0.000
Ba1 Ba 0.000 0.000 0.000
Sc1 Sc 0.500 0.500 0.500
Te1 Te 0.000 0.000 0.500
```

Values from the calculation:
Raw formation energy (eV per formula unit): 1.9

=====

Record 11
CsBaSe2 at its PBEsol-relaxed geometry. Source: Alexandria via LeMat-Bulk, functional meta-GGA SCAN.

```
data_CsBaSe2
_cell_length_a 7.759
_cell_length_b 7.759
_cell_length_c 14.651
_cell_angle_alpha 90.00
_cell_angle_beta 90.00
_cell_angle_gamma 90.00
_space_group_name_H-M_alt 'I -4 2 d'
_space_group_IT_number 122
_space_group_name_Hall 'I -4 2bw'
loop_
_atom_site_label
_atom_site_type_symbol
_atom_site_fract_x
_atom_site_fract_y
_atom_site_fract_z
Cs1 Cs 0.000 0.000 0.000
Ba1 Ba 0.000 0.000 0.500
Se1 Se 0.208 0.250 0.625
```

Values from the calculation:
Raw formation energy (eV per formula unit): -4.9

=====

Record 12
Cs2BaSi2 at its PBEsol-relaxed geometry. Source: Alexandria via LeMat-Bulk, functional meta-GGA SCAN.

```
data_Cs2BaSi2
_cell_length_a 8.189
_cell_length_b 8.189
_cell_length_c 6.110
_cell_angle_alpha 90.00
_cell_angle_beta 90.00
_cell_angle_gamma 90.00
_space_group_name_H-M_alt 'P 4/m b m'
_space_group_IT_number 127
_space_group_name_Hall '-P 4 2ab'
loop_
_atom_site_label
_atom_site_type_symbol
_atom_site_fract_x
_atom_site_fract_y
_atom_site_fract_z
Cs1 Cs 0.175 0.325 0.000
Ba1 Ba 0.000 0.000 0.500
Si1 Si 0.096 0.596 0.500
```

Values from the calculation:
Raw formation energy (eV per formula unit): 0.4

=====

Record 13
CsBaZrSi2 at its PBEsol-relaxed geometry. Source: Alexandria via LeMat-Bulk, functional meta-GGA SCAN.

```
data_CsBaZrSi2
_cell_length_a 5.515
_cell_length_b 5.515
_cell_length_c 5.891
_cell_angle_alpha 90.00
_cell_angle_beta 90.00
_cell_angle_gamma 90.00
_space_group_name_H-M_alt 'P 4/m m m'
_space_group_IT_number 123
_space_group_name_Hall '-P 4 2'
loop_
_atom_site_label
_atom_site_type_symbol
_atom_site_fract_x
_atom_site_fract_y
_atom_site_fract_z
Cs1 Cs 0.000 0.000 0.000
Ba1 Ba 0.000 0.000 0.500
Zr1 Zr 0.500 0.500 0.500
Si1 Si 0.000 0.500 0.000
```

Values from the calculation:
Raw formation energy (eV per formula unit): 9.6

=====

Record 14
CsBaZrSn2 at its PBEsol-relaxed geometry. Source: Alexandria via LeMat-Bulk, functional meta-GGA SCAN.

```
data_CsBaZrSn2
_cell_length_a 5.636
_cell_length_b 5.636
_cell_length_c 5.796
_cell_angle_alpha 90.00
_cell_angle_beta 90.00
_cell_angle_gamma 90.00
_space_group_name_H-M_alt 'P 4/m m m'
_space_group_IT_number 123
_space_group_name_Hall '-P 4 2'
loop_
_atom_site_label
_atom_site_type_symbol
_atom_site_fract_x
_atom_site_fract_y
_atom_site_fract_z
Cs1 Cs 0.000 0.000 0.000
Ba1 Ba 0.500 0.500 0.000
Zr1 Zr 0.000 0.000 0.500
Sn1 Sn 0.000 0.500 0.500
```

Values from the calculation:
Energy of formation from the pure elements (kJ per mole of atoms): 2

=====

Record 15
CsBa2Sr at its PBEsol-relaxed geometry. Source: Alexandria via LeMat-Bulk, functional meta-GGA SCAN.

```
data_CsBa2Sr
_cell_length_a 10.007
_cell_length_b 10.007
_cell_length_c 10.007
_cell_angle_alpha 90.00
_cell_angle_beta 90.00
_cell_angle_gamma 90.00
_space_group_name_H-M_alt 'F m -3 m'
_space_group_IT_number 225
_space_group_name_Hall '-F 4 2 3'
loop_
_atom_site_label
_atom_site_type_symbol
_atom_site_fract_x
_atom_site_fract_y
_atom_site_fract_z
Cs1 Cs 0.000 0.000 0.000
Ba1 Ba 0.250 0.250 0.250
Sr1 Sr 0.000 0.000 0.500
```

Values from the calculation:
Energy of formation from the pure elements (kJ per mole of atoms): 16

=====

Record 16
CsBaSr2 at its PBEsol-relaxed geometry. Source: Alexandria via LeMat-Bulk, functional meta-GGA SCAN.

```
data_CsBaSr2
_cell_length_a 9.965
_cell_length_b 9.965
_cell_length_c 9.965
_cell_angle_alpha 90.00
_cell_angle_beta 90.00
_cell_angle_gamma 90.00
_space_group_name_H-M_alt 'F m -3 m'
_space_group_IT_number 225
_space_group_name_Hall '-F 4 2 3'
loop_
_atom_site_label
_atom_site_type_symbol
_atom_site_fract_x
_atom_site_fract_y
_atom_site_fract_z
Cs1 Cs 0.000 0.000 0.000
Ba1 Ba 0.000 0.000 0.500
Sr1 Sr 0.250 0.250 0.250
```

Values from the calculation:
Energy of formation from the pure elements (kJ per mole of atoms): 19

=====

Record 17
CsBaTc2 at its PBEsol-relaxed geometry. Source: Alexandria via LeMat-Bulk, functional meta-GGA SCAN.

```
data_CsBaTc2
_cell_length_a 7.317
_cell_length_b 7.317
_cell_length_c 7.317
_cell_angle_alpha 90.00
_cell_angle_beta 90.00
_cell_angle_gamma 90.00
_space_group_name_H-M_alt 'F m -3 m'
_space_group_IT_number 225
_space_group_name_Hall '-F 4 2 3'
loop_
_atom_site_label
_atom_site_type_symbol
_atom_site_fract_x
_atom_site_fract_y
_atom_site_fract_z
Cs1 Cs 0.000 0.000 0.000
Ba1 Ba 0.000 0.000 0.500
Tc1 Tc 0.250 0.250 0.250
```

Values from the calculation:
Energy of formation from the pure elements (kJ per mole of atoms): 206

=====

Record 18
CsBaTl2 at its PBEsol-relaxed geometry. Source: Alexandria via LeMat-Bulk, functional meta-GGA SCAN.

```
data_CsBaTl2
_cell_length_a 8.563
_cell_length_b 8.563
_cell_length_c 8.563
_cell_angle_alpha 90.00
_cell_angle_beta 90.00
_cell_angle_gamma 90.00
_space_group_name_H-M_alt 'F m -3 m'
_space_group_IT_number 225
_space_group_name_Hall '-F 4 2 3'
loop_
_atom_site_label
_atom_site_type_symbol
_atom_site_fract_x
_atom_site_fract_y
_atom_site_fract_z
Cs1 Cs 0.000 0.000 0.000
Ba1 Ba 0.000 0.000 0.500
Tl1 Tl 0.250 0.250 0.250
```

Values from the calculation:
Energy of formation from the pure elements (kJ per mole of atoms): -23

=====

Record 19
CsBa3Tl at its PBEsol-relaxed geometry. Source: Alexandria via LeMat-Bulk, functional meta-GGA SCAN.

```
data_CsBa3Tl
_cell_length_a 6.829
_cell_length_b 6.829
_cell_length_c 6.829
_cell_angle_alpha 90.00
_cell_angle_beta 90.00
_cell_angle_gamma 90.00
_space_group_name_H-M_alt 'P m -3 m'
_space_group_IT_number 221
_space_group_name_Hall '-P 4 2 3'
loop_
_atom_site_label
_atom_site_type_symbol
_atom_site_fract_x
_atom_site_fract_y
_atom_site_fract_z
Cs1 Cs 0.000 0.000 0.000
Ba1 Ba 0.000 0.500 0.500
Tl1 Tl 0.500 0.500 0.500
```

Values from the calculation:
Energy of formation from the pure elements (kJ per mole of atoms): -14

=====

Record 20
CsBa2Y at its PBEsol-relaxed geometry. Source: Alexandria via LeMat-Bulk, functional meta-GGA SCAN.

```
data_CsBa2Y
_cell_length_a 9.352
_cell_length_b 9.352
_cell_length_c 9.352
_cell_angle_alpha 90.00
_cell_angle_beta 90.00
_cell_angle_gamma 90.00
_space_group_name_H-M_alt 'F m -3 m'
_space_group_IT_number 225
_space_group_name_Hall '-F 4 2 3'
loop_
_atom_site_label
_atom_site_type_symbol
_atom_site_fract_x
_atom_site_fract_y
_atom_site_fract_z
Cs1 Cs 0.000 0.000 0.000
Ba1 Ba 0.250 0.250 0.250
Y1 Y 0.000 0.000 0.500
```

Values from the calculation:
Energy of formation from the pure elements (kJ per mole of atoms): 43